[1]
## HfVB (GGA-PBE)

Data for a relaxed structure of HfVB.

Calculated values
**Crystal system**: trigonal
**Calculated formation energy**: 47 kJ/mol of formula units

Lattice parameters (Å, degrees): 3.1959 3.1959 14.9573 90.00 90.00 120.00
Space group R3m (No. 160, hexagonal axes)
One atom of each set of equivalent atoms:
Hf  0.0000  0.0000  0.0000
V  0.0000  0.0000  0.1809
B  0.0000  0.0000  0.7740



[2]
## HfV2B (GGA-PBE)

Data for a relaxed structure of HfV2B.

Calculated values
**Crystal system**: orthorhombic
**Calculated formation energy**: -131 kJ/mol of formula units

Lattice parameters (Å, degrees): 3.290 9.196 7.140 90.00 90.00 90.00
Space group Cmcm (No. 63)
One atom of each set of equivalent atoms:
Hf  0.000  0.051  0.250
V  0.000  0.343  0.059
B  0.000  0.236  0.750



[3]
## HfVB2 (GGA-PBE)

Data for a relaxed structure of HfVB2.

Calculated values
**Crystal system**: orthorhombic
**Calculated formation energy**: -222 kJ/mol of formula units

Lattice parameters (Å, degrees): 5.667 3.265 9.873 90.00 90.00 90.00
Space group Pnma (No. 62)
One atom of each set of equivalent atoms:
Hf  0.121  0.250  0.151
V  0.133  0.250  0.447
B  0.033  0.250  0.676
B  0.218  0.250  0.822



[4]
## Hf2VB2 (GGA-PBE)

Data for a relaxed structure of Hf2VB2.

Calculated values
**Crystal system**: tetragonal
**Calculated formation energy**: -272 kJ/mol of formula units

Lattice parameters (Å, degrees): 6.219 6.219 3.409 90.00 90.00 90.00
Space group P4/mbm (No. 127)
One atom of each set of equivalent atoms:
Hf  0.183  0.317  0.000
V  0.000  0.000  0.500
B  0.104  0.604  0.500



[5]
## HfV2B2 (GGA-PBE)

Data for a relaxed structure of HfV2B2.

Calculated values
**Crystal system**: tetragonal
**Calculated formation energy**: -215 kJ/mol of formula units

Lattice parameters (Å, degrees): 6.061 6.061 3.124 90.00 90.00 90.00
Space group P4/mbm (No. 127)
One atom of each set of equivalent atoms:
Hf  0.000  0.000  0.000
V  0.170  0.330  0.500
B  0.103  0.603  0.000



[6]
## HfV3B (GGA-PBE)

Data for a relaxed structure of HfV3B.

Calculated values
**Crystal system**: cubic
**Calculated formation energy**: 1197 kJ/mol of formula units

Lattice parameters (Å, degrees): 4.554 4.554 4.554 90.00 90.00 90.00
Space group Pm-3m (No. 221)
One atom of each set of equivalent atoms:
Hf  0.000  0.000  0.000
V  0.000  0.000  0.500
B  0.500  0.500  0.500



| no. | ρ (g/cm3) | magnetic moment (μB per cell) |
| --- | --- | --- |
| 1 | 9.05 | 0.0 |
| 2 | 8.96 | 0.0 |
| 3 | 9.13 | 0.4 |
| 4 | 10.82 | 3.3 |
| 5 | 8.74 | 0.0 |
| 6 | 6.01 | 0.0 |